# LaAg4Au meta-GGA SCAN single point on PBEsol structure
# energy	-39.93	eV/atom
# energy of formation	-0.31	eV/atom
# density	10.973	g cm⁻³
# total moment	0.00	μB/cell
data_LaAg4Au
_symmetry_space_group_name_H-M 'P 1'
_symmetry_Int_Tables_number 1
_symmetry_space_group_name_Hall 'P 1'
_cell_length_a 5.476
_cell_length_b 5.476
_cell_length_c 5.476
_cell_angle_alpha 60.00
_cell_angle_beta 60.00
_cell_angle_gamma 60.00
loop_
_atom_site_label
_atom_site_fract_x
_atom_site_fract_y
_atom_site_fract_z
Au1 0.750 0.750 0.750
Ag1 0.376 0.376 0.376
Ag2 0.376 0.376 0.873
Ag3 0.873 0.376 0.376
Ag4 0.376 0.873 0.376
La1 0.000 0.000 0.000



# Sr2CuP meta-GGA SCAN single point on PBEsol structure
# energy	-17.45	eV/atom
# energy of formation	0.09	eV/atom
# density	4.836	g cm⁻³
# total moment	0.00	μB/cell
data_Sr2CuP
_symmetry_space_group_name_H-M 'P 1'
_symmetry_Int_Tables_number 1
_symmetry_space_group_name_Hall 'P 1'
_cell_length_a 5.079
_cell_length_b 5.079
_cell_length_c 5.079
_cell_angle_alpha 60.00
_cell_angle_beta 60.00
_cell_angle_gamma 60.00
loop_
_atom_site_label
_atom_site_fract_x
_atom_site_fract_y
_atom_site_fract_z
Cu1 0.500 0.500 0.500
P1 0.250 0.250 0.250
Sr1 0.000 0.000 0.000
Sr2 0.750 0.750 0.750



# LiC4 meta-GGA SCAN single point on PBEsol structure
# energy	-7.45	eV/atom
# energy of formation	1.11	eV/atom
# density	2.598	g cm⁻³
# total moment	0.00	μB/cell
data_LiC4
_symmetry_space_group_name_H-M 'P 1'
_symmetry_Int_Tables_number 1
_symmetry_space_group_name_Hall 'P 1'
_cell_length_a 2.454
_cell_length_b 2.454
_cell_length_c 6.737
_cell_angle_alpha 90.00
_cell_angle_beta 90.00
_cell_angle_gamma 120.00
loop_
_atom_site_label
_atom_site_fract_x
_atom_site_fract_y
_atom_site_fract_z
C1 0.333 0.667 0.238
C2 0.667 0.333 0.762
C3 0.333 0.667 0.458
C4 0.667 0.333 0.542
Li1 0.000 0.000 0.000